## Rb2FeAsO4 (GGA+U)

Data for Rb2FeAsO4 after structural relaxation.

abc: 12.217 10.813 6.904
angles: 84.11 61.69 34.20
Fractional positions:
Rb: 0.053 0.053 0.697
Rb: 0.303 0.303 0.947
Rb: 0.697 0.697 0.053
Rb: 0.947 0.947 0.303
Fe: 0.125 0.125 0.125
Fe: 0.875 0.875 0.875
As: 0.375 0.375 0.375
As: 0.625 0.625 0.625
O: 0.035 0.634 0.549
O: 0.282 0.549 0.634
O: 0.366 0.965 0.718
O: 0.451 0.718 0.965
O: 0.549 0.282 0.035
O: 0.634 0.035 0.282
O: 0.718 0.451 0.366
O: 0.965 0.366 0.451

Raw total energy (eV per atom): -5.262
Crystal system: orthorhombic